# AsPdAuO

A geometry-optimized AsPdAuO structure (GGA-PBE, the Open Quantum Materials Database).

Calculated values
Symmetry: No. 129
Excess energy over the best structure of this formula in the dataset: 0.471 eV per formula unit
Final energy: -4.46 eV/atom

Lattice parameters (Å, degrees): 4.0940 4.0940 6.7688 90.00 90.00 90.00
Sites, in units of the cell vectors:
As  0.2500  0.2500  0.2503
As  0.7500  0.7500  0.7497
Pd  0.2500  0.7500  0.0000
Pd  0.7500  0.2500  0.0000
Au  0.2500  0.2500  0.6980
Au  0.7500  0.7500  0.3020
O  0.2500  0.7500  0.5000
O  0.7500  0.2500  0.5000